# 1
# SrI2O6 | Alexandria | PBE | relaxed
data_SrI2O6
_chemical_formula_sum 'Sr4 I8 O24'
_symmetry_space_group_name_H-M 'P 21 21 21'
_symmetry_Int_Tables_number 19
_cell_length_a 6.046
_cell_length_b 6.144
_cell_length_c 18.121
_cell_angle_alpha 90.00
_cell_angle_beta 90.00
_cell_angle_gamma 90.00
loop_
_symmetry_equiv_pos_as_xyz
'x,y,z'
'-x+1/2,-y,z+1/2'
'x+1/2,-y+1/2,-z'
'-x,y+1/2,-z+1/2'
loop_
_atom_site_label
_atom_site_type_symbol
_atom_site_fract_x
_atom_site_fract_y
_atom_site_fract_z
_atom_site_occupancy
Sr1 Sr 0.205 0.188 0.097 1
I1 I 0.044 0.851 0.925 1
I2 I 0.249 0.279 0.785 1
O1 O 0.019 0.530 0.291 1
O2 O 0.026 0.449 0.822 1
O3 O 0.030 0.579 0.514 1
O4 O 0.135 0.448 0.651 1
O5 O 0.141 0.147 0.533 1
O6 O 0.173 0.873 0.369 1
# * ΔE_f (raw): -1.06 eV/atom
# * mass density: 4.317 g cm⁻³
# * magnetization: 0.00 μB per formula unit

# 2
# SrI2O2 | Alexandria | PBE | relaxed
data_SrI2O2
_chemical_formula_sum 'Sr1 I2 O2'
_symmetry_space_group_name_H-M 'P 4/m m m'
_symmetry_Int_Tables_number 123
_symmetry_space_group_name_Hall '-P 4 2'
_cell_length_a 6.599
_cell_length_b 6.599
_cell_length_c 4.526
_cell_angle_alpha 90.00
_cell_angle_beta 90.00
_cell_angle_gamma 90.00
loop_
_atom_site_label
_atom_site_type_symbol
_atom_site_fract_x
_atom_site_fract_y
_atom_site_fract_z
_atom_site_occupancy
Sr1 Sr 0.000 0.000 0.000 1
I1 I 0.000 0.500 0.000 1
O1 O 0.000 0.000 0.500 1
O2 O 0.500 0.500 0.500 1
# * ΔE_f (raw): 0.00 eV/atom
# * mass density: 3.146 g cm⁻³
# * magnetization: 4.01 μB per formula unit

# 3
# Sr2IO | Alexandria | PBE | relaxed
data_Sr2IO
_chemical_formula_sum 'Sr6 I3 O3'
_symmetry_space_group_name_H-M 'R -3 m'
_symmetry_Int_Tables_number 166
_symmetry_space_group_name_Hall '-R 3 2"'
_cell_length_a 3.9973
_cell_length_b 3.9973
_cell_length_c 23.4436
_cell_angle_alpha 90.00
_cell_angle_beta 90.00
_cell_angle_gamma 120.00
loop_
_atom_site_label
_atom_site_type_symbol
_atom_site_fract_x
_atom_site_fract_y
_atom_site_fract_z
_atom_site_occupancy
Sr1 Sr 0.0000 0.0000 0.2243 1
I1 I 0.0000 0.0000 0.0000 1
O1 O 0.0000 0.0000 0.5000 1
# * ΔE_f (raw): -1.76 eV/atom
# * mass density: 4.885 g cm⁻³
# * magnetization: 0.76 μB per formula unit

# 4
# SrI2O7 | Alexandria | PBE | relaxed
data_SrI2O7
_chemical_formula_sum 'Sr4 I8 O28'
_symmetry_space_group_name_H-M 'C 1 2/c 1'
_symmetry_Int_Tables_number 15
_cell_length_a 12.436
_cell_length_b 7.898
_cell_length_c 8.459
_cell_angle_alpha 90.00
_cell_angle_beta 128.53
_cell_angle_gamma 90.00
loop_
_symmetry_equiv_pos_as_xyz
'x,y,z'
'-x,-y,-z'
'-x,y,-z+1/2'
'x,-y,z+1/2'
'x+1/2,y+1/2,z'
'-x+1/2,-y+1/2,-z'
'-x+1/2,y+1/2,-z+1/2'
'x+1/2,-y+1/2,z+1/2'
loop_
_atom_site_label
_atom_site_type_symbol
_atom_site_fract_x
_atom_site_fract_y
_atom_site_fract_z
_atom_site_occupancy
Sr1 Sr 0.000 0.142 0.250 1
I1 I 0.184 0.468 0.702 1
O1 O 0.000 0.200 0.750 1
O2 O 0.084 0.335 0.092 1
O3 O 0.141 0.055 0.635 1
O4 O 0.186 0.402 0.496 1
# * ΔE_f (raw): -0.69 eV/atom
# * mass density: 4.634 g cm⁻³
# * magnetization: 2.03 μB per formula unit

E_tot (computed, eV/f.u.): -44.08, -14.72, -16.92, -46.35